1.
DFT (meta-GGA SCAN) results for a crystal of Tl2OsCl relaxed with PBEsol.

```
Tl2OsCl
1.0
3.2968 0.0000 0.0000
0.0000 3.2797 0.0000
-0.0236 0.0000 7.9096
Tl Os Cl
2 1 1
Direct
0.0016 0.0000 0.2045 Tl
0.9984 0.0000 0.7955 Tl
0.5000 0.5000 0.0000 Os
0.0000 0.5000 0.5000 Cl
```

Computed properties:
* M_tot: 0.000 μB per cell
* space group: P2/m
* DFT total energy: -222.6 eV/f.u.
* excess energy over the best structure of this formula in the dataset: 43 meV per atom
* crystal system: monoclinic
* D(E_F): 0.398 states/eV/atom
* uncorrected formation energy: 0.491 eV/atom


2.
DFT (meta-GGA SCAN) results for a crystal of YCdS2N relaxed with PBEsol.

```
YCdS2N
1.0
5.2163 0.0000 0.0000
0.0000 5.2163 0.0000
0.0000 0.0000 4.3349
Y Cd S N
1 1 2 1
Direct
0.0000 0.0000 0.0000 Y
0.5000 0.5000 0.5000 Cd
0.0000 0.5000 0.0000 S
0.5000 0.0000 0.0000 S
0.0000 0.0000 0.5000 N
```

Computed properties:
* M_tot: 2.160 μB per cell
* space group: P4/mmm
* DFT total energy: -87.5 eV/f.u.
* excess energy over the best structure of this formula in the dataset: 0 meV per atom
* crystal system: tetragonal
* D(E_F): 0.295 states/eV/atom
* uncorrected formation energy: -0.131 eV/atom


3.
DFT (meta-GGA SCAN) results for a crystal of Tm2BeOs relaxed with PBEsol.

```
Tm2BeOs
1.0
0.0000 3.3186 3.3186
3.3186 0.0000 3.3186
3.3186 3.3186 0.0000
Tm Be Os
2 1 1
Direct
0.2500 0.2500 0.2500 Tm
0.7500 0.7500 0.7500 Tm
0.0000 0.0000 0.0000 Be
0.5000 0.5000 0.5000 Os
```

Computed properties:
* M_tot: 0.000 μB per cell
* space group: Fm-3m
* DFT total energy: -181.0 eV/f.u.
* crystal system: cubic
* calculated formation energy: -0.288 eV/atom
* D(E_F): 0.470 states/eV/atom


4.
DFT (meta-GGA SCAN) results for a crystal of YTa2Au relaxed with PBEsol.

```
YTa2Au
1.0
3.3473 0.0000 0.0000
0.0000 4.5959 0.0000
0.0000 0.0000 5.0465
Y Ta Au
1 2 1
Direct
0.0000 0.0000 0.0000 Y
0.0000 0.5000 0.5000 Ta
0.5000 0.0000 0.5000 Ta
0.5000 0.5000 0.0000 Au
```

Computed properties:
* M_tot: 0.000 μB per cell
* space group: Pmmm
* DFT total energy: -230.1 eV/f.u.
* excess energy over the best structure of this formula in the dataset: 0 meV per atom
* crystal system: orthorhombic
* calculated formation energy: 0.011 eV/atom
* D(E_F): 0.945 states/eV/atom


5.
DFT (meta-GGA SCAN) results for a crystal of CoSe2BrN relaxed with PBEsol.

```
CoSe2BrN
1.0
4.4997 0.0000 0.0000
0.0000 4.4997 0.0000
0.0000 0.0000 5.0610
Co Se Br N
1 2 1 1
Direct
0.0000 0.0000 0.0000 Co
0.0000 0.5000 0.0000 Se
0.5000 0.0000 0.0000 Se
0.0000 0.0000 0.5000 Br
0.5000 0.5000 0.5000 N
```

Computed properties:
* M_tot: 0.720 μB per cell
* space group: P4/mmm
* DFT total energy: -80.4 eV/f.u.
* crystal system: tetragonal
* D(E_F): 0.473 states/eV/atom
* uncorrected formation energy: 1.163 eV/atom


6.
DFT (meta-GGA SCAN) results for a crystal of InGe2Pb relaxed with PBEsol.

```
InGe2Pb
1.0
0.0000 3.5830 3.5830
3.5830 0.0000 3.5830
3.5830 3.5830 0.0000
In Ge Pb
1 2 1
Direct
0.0000 0.0000 0.0000 In
0.2500 0.2500 0.2500 Ge
0.7500 0.7500 0.7500 Ge
0.5000 0.5000 0.5000 Pb
```

Computed properties:
* M_tot: 0.000 μB per cell
* space group: Fm-3m
* DFT total energy: -146.1 eV/f.u.
* crystal system: cubic
* calculated formation energy: 0.316 eV/atom
* D(E_F): 0.543 states/eV/atom


7.
DFT (meta-GGA SCAN) results for a crystal of RuPt2Rh relaxed with PBEsol.

```
RuPt2Rh
1.0
4.5009 -1.3550 0.0000
4.5009 1.3550 0.0000
-0.8084 0.0000 4.6368
Ru Pt Rh
1 2 1
Direct
0.0000 0.0000 0.0000 Ru
0.2507 0.2507 0.7503 Pt
0.4960 0.4960 0.4917 Pt
0.7433 0.7433 0.2354 Rh
```

Computed properties:
* M_tot: 0.000 μB per cell
* space group: Cm
* DFT total energy: -209.1 eV/f.u.
* excess energy over the best structure of this formula in the dataset: 23 meV per atom
* crystal system: monoclinic
* calculated formation energy: -0.023 eV/atom
* D(E_F): 0.959 states/eV/atom


8.
DFT (meta-GGA SCAN) results for a crystal of La4MnCu6S10 relaxed with PBEsol.

```
La4MnCu6S10
1.0
6.4578 0.0000 0.0000
0.0232 7.2134 0.0000
2.3637 1.0058 8.3091
La Mn Cu S
4 1 6 10
Direct
0.0580 0.4112 0.2468 La
0.2750 0.0738 0.8251 La
0.7250 0.9262 0.1749 La
0.9420 0.5888 0.7532 La
0.5000 0.5000 0.5000 Mn
0.2308 0.7876 0.3460 Cu
0.3291 0.0946 0.4256 Cu
0.4482 0.6666 0.9531 Cu
0.5518 0.3334 0.0469 Cu
0.6709 0.9054 0.5744 Cu
0.7692 0.2124 0.6540 Cu
0.0910 0.7288 0.0014 S
0.1266 0.2964 0.5723 S
0.3128 0.0872 0.1673 S
0.3225 0.8067 0.5828 S
0.4789 0.5802 0.2167 S
0.5211 0.4198 0.7833 S
0.6775 0.1933 0.4172 S
0.6872 0.9128 0.8327 S
0.8734 0.7036 0.4277 S
0.9090 0.2712 0.9986 S
```

Computed properties:
* M_tot: 4.971 μB per cell
* space group: P-1
* DFT total energy: -407.9 eV/f.u.
* crystal system: triclinic
* D(E_F): 0.000 states/eV/atom
* uncorrected formation energy: -1.419 eV/atom


9.
DFT (meta-GGA SCAN) results for a crystal of CaTaNO2 relaxed with PBEsol.

```
CaTaNO2
1.0
7.7703 0.0000 0.0000
0.0000 5.5391 0.0000
0.0000 0.0000 5.6491
Ca Ta N O
4 4 4 8
Direct
0.0000 0.2349 0.0000 Ca
0.0000 0.7651 0.5000 Ca
0.5000 0.2597 0.9135 Ca
0.5000 0.7403 0.4135 Ca
0.2542 0.2638 0.4532 Ta
0.2542 0.7362 0.9532 Ta
0.7458 0.2638 0.4532 Ta
0.7458 0.7362 0.9532 Ta
0.2971 0.4641 0.1785 N
0.2971 0.5359 0.6785 N
0.7029 0.4641 0.1785 N
0.7029 0.5359 0.6785 N
0.0000 0.3318 0.4448 O
0.0000 0.6682 0.9448 O
0.2011 0.0390 0.7575 O
0.2011 0.9610 0.2575 O
0.5000 0.1500 0.4929 O
0.5000 0.8500 0.9929 O
0.7989 0.0390 0.7575 O
0.7989 0.9610 0.2575 O
```

Computed properties:
* M_tot: 0.000 μB per cell
* space group: Pmc2_1
* DFT total energy: -111.3 eV/f.u.
* crystal system: orthorhombic
* D(E_F): 0.000 states/eV/atom
* uncorrected formation energy: -2.656 eV/atom


10.
DFT (meta-GGA SCAN) results for a crystal of TcP2Pb relaxed with PBEsol.

```
TcP2Pb
1.0
0.0000 3.2171 3.2171
3.2171 0.0000 3.2171
3.2171 3.2171 0.0000
Tc P Pb
1 2 1
Direct
0.0000 0.0000 0.0000 Tc
0.5000 0.5000 0.5000 P
0.7500 0.7500 0.7500 P
0.2500 0.2500 0.2500 Pb
```

Computed properties:
* M_tot: 0.000 μB per cell
* space group: F-43m
* DFT total energy: -127.6 eV/f.u.
* crystal system: cubic
* calculated formation energy: 1.014 eV/atom
* D(E_F): 0.490 states/eV/atom


11.
DFT (meta-GGA SCAN) results for a crystal of BaMgCd relaxed with PBEsol.

```
BaMgCd
1.0
-1.9329 1.9329 6.2949
1.9329 -1.9329 6.2949
1.9329 1.9329 -6.2949
Ba Mg Cd
1 1 1
Direct
0.0000 0.0000 0.0000 Ba
0.7065 0.7065 0.0000 Mg
0.3090 0.3090 0.0000 Cd
```

Computed properties:
* M_tot: 0.005 μB per cell
* space group: I4mm
* DFT total energy: -75.5 eV/f.u.
* crystal system: tetragonal
* calculated formation energy: -0.184 eV/atom
* D(E_F): 0.684 states/eV/atom


12.
DFT (meta-GGA SCAN) results for a crystal of LaRuRh2 relaxed with PBEsol.

```
LaRuRh2
1.0
2.9283 0.0000 0.0000
0.0000 2.9283 0.0000
0.0000 0.0000 7.8521
La Ru Rh
1 1 2
Direct
0.0000 0.0000 0.0000 La
0.5000 0.5000 0.6956 Ru
0.0000 0.0000 0.5004 Rh
0.5000 0.5000 0.2817 Rh
```

Computed properties:
* M_tot: 0.000 μB per cell
* space group: P4mm
* DFT total energy: -145.0 eV/f.u.
* excess energy over the best structure of this formula in the dataset: 167 meV per atom
* crystal system: tetragonal
* calculated formation energy: 0.128 eV/atom
* D(E_F): 0.775 states/eV/atom